This record from Alexandria via LeMat-Bulk describes an optimized crystal structure of Cu2PdPtSe8. The functional is PBE.

Calculated total energy = -45.02 eV/f.u.
Size of the total moment = 0.000 μB/atom

Unit cell a=7.8445 b=7.8445 c=7.8445 alpha=104.56 beta=104.56 gamma=119.83
Positions (direct):
Cu  0.7500  0.2500  0.5000
Cu  0.5000  0.5000  0.0000
Pd  0.0000  0.0000  0.0000
Pt  0.2500  0.7500  0.5000
Se  0.3554  0.0013  0.3541
Se  0.2544  0.3973  0.1429
Se  0.2544  0.1116  0.8571
Se  0.6472  0.0013  0.6459
Se  0.8884  0.7456  0.1429
Se  0.9987  0.3528  0.3541
Se  0.9987  0.6446  0.6459
Se  0.6027  0.7456  0.8571